[1]
Sr2In3GaAu4: relaxed, PBE-GGA. Values from VASP.

The structure in Quantum ESPRESSO input format:
```
&SYSTEM
  ibrav = 0, nat = 10, ntyp = 4
/
ATOMIC_SPECIES
In 114.82 In.upf
Sr 87.62 Sr.upf
Ga 69.72 Ga.upf
Au 196.97 Au.upf
ATOMIC_POSITIONS crystal
In 0.000 0.500 0.131
Sr 0.500 0.000 0.253
Ga 0.500 0.500 0.500
Au 0.000 0.500 0.371
Au 0.500 0.500 0.000
Sr 0.000 0.500 0.747
In 0.500 0.000 0.869
Au 0.000 0.000 0.000
In 0.000 0.000 0.500
Au 0.500 0.000 0.629
CELL_PARAMETERS angstrom
-0.293 -4.230 1.992
-0.290 -1.975 -4.238
11.353 -0.945 -0.337
```

V = 25.01 Å³/atom
Crystal system = tetragonal
Calculated formation energy = -0.5178 eV per atom
DOS(E_F) = 0.42 states/eV per atom

[2]
SrIn2GaAu2: relaxed, PBE-GGA. Values from VASP.

The structure in Quantum ESPRESSO input format:
```
&SYSTEM
  ibrav = 0, nat = 6, ntyp = 4
/
ATOMIC_SPECIES
Sr 87.62 Sr.upf
Au 196.97 Au.upf
In 114.82 In.upf
Ga 69.72 Ga.upf
ATOMIC_POSITIONS crystal
Sr 0.500 0.500 0.000
Au 0.786 0.786 0.571
In 0.750 0.250 0.500
Au 0.214 0.214 0.429
Ga 0.000 0.000 0.000
In 0.250 0.750 0.500
CELL_PARAMETERS angstrom
-1.307 3.040 -4.390
-5.329 -0.449 1.276
3.684 3.506 4.774
```

V = 29.17 Å³/atom
Crystal system = tetragonal
Calculated formation energy = -0.2193 eV per atom
DOS(E_F) = 0.40 states/eV per atom

[3]
SrInGa2Au2: relaxed, PBE-GGA. Values from VASP.

The structure in Quantum ESPRESSO input format:
```
&SYSTEM
  ibrav = 0, nat = 6, ntyp = 4
/
ATOMIC_SPECIES
Au 196.97 Au.upf
Ga 69.72 Ga.upf
Sr 87.62 Sr.upf
In 114.82 In.upf
ATOMIC_POSITIONS crystal
Au 0.667 0.333 0.701
Au 0.333 0.667 0.299
Ga 0.667 0.333 0.269
Ga 0.333 0.667 0.731
Sr 0.000 0.000 0.000
In 0.000 0.000 0.500
CELL_PARAMETERS angstrom
-0.064 -4.358 -1.271
1.369 1.126 4.180
-7.227 -0.635 2.539
```

V = 22.87 Å³/atom
Crystal system = trigonal
Calculated formation energy = -0.4525 eV per atom
DOS(E_F) = 0.34 states/eV per atom

[4]
SrInGaAu2: relaxed, PBE-GGA. Values from VASP.

The structure in Quantum ESPRESSO input format:
```
&SYSTEM
  ibrav = 0, nat = 5, ntyp = 4
/
ATOMIC_SPECIES
Au 196.97 Au.upf
Ga 69.72 Ga.upf
In 114.82 In.upf
Sr 87.62 Sr.upf
ATOMIC_POSITIONS crystal
Au 0.614 0.614 0.228
Ga 0.250 0.750 0.500
In 0.750 0.250 0.500
Sr 0.000 0.000 0.000
Au 0.386 0.386 0.772
CELL_PARAMETERS angstrom
-0.892 3.588 2.492
-4.334 -1.046 -0.046
3.362 -4.593 3.827
```

V = 24.22 Å³/atom
Crystal system = tetragonal
Calculated formation energy = -0.5322 eV per atom
DOS(E_F) = 0.62 states/eV per atom

[5]
Sr3In2GaAu6: relaxed, PBE-GGA. Values from VASP.

The structure in Quantum ESPRESSO input format:
```
&SYSTEM
  ibrav = 0, nat = 12, ntyp = 4
/
ATOMIC_SPECIES
In 114.82 In.upf
Au 196.97 Au.upf
Sr 87.62 Sr.upf
Ga 69.72 Ga.upf
ATOMIC_POSITIONS crystal
In 0.667 0.333 0.968
Au 0.177 0.354 0.298
In 0.333 0.667 0.032
Au 0.823 0.646 0.702
Au 0.177 0.823 0.298
Au 0.646 0.823 0.298
Sr 0.667 0.333 0.371
Au 0.354 0.177 0.702
Au 0.823 0.177 0.702
Sr 0.000 0.000 0.000
Sr 0.333 0.667 0.629
Ga 0.000 0.000 0.500
CELL_PARAMETERS angstrom
6.391 0.000 0.000
-3.195 5.534 0.000
0.000 0.000 8.749
```

V = 25.78 Å³/atom
Crystal system = trigonal
Calculated formation energy = -0.5155 eV per atom
DOS(E_F) = 0.33 states/eV per atom

[6]
SrInGa2Au4: relaxed, PBE-GGA. Values from VASP.

The structure in Quantum ESPRESSO input format:
```
&SYSTEM
  ibrav = 0, nat = 8, ntyp = 4
/
ATOMIC_SPECIES
Ga 69.72 Ga.upf
Au 196.97 Au.upf
In 114.82 In.upf
Sr 87.62 Sr.upf
ATOMIC_POSITIONS crystal
Ga 0.751 0.751 0.747
Au 0.122 0.122 0.635
Au 0.601 0.601 0.196
Ga 0.249 0.249 0.253
In 0.500 0.500 0.500
Sr 0.000 0.000 0.000
Au 0.399 0.399 0.804
Au 0.878 0.878 0.365
CELL_PARAMETERS angstrom
-2.966 3.305 -0.099
-3.834 -0.521 -2.181
-6.686 -2.777 7.892
```

V = 22.21 Å³/atom
Crystal system = trigonal
Calculated formation energy = -0.3712 eV per atom
DOS(E_F) = 0.49 states/eV per atom

[7]
TaIn2GaAu: relaxed, PBE-GGA. Values from VASP.

The structure in Quantum ESPRESSO input format:
```
&SYSTEM
  ibrav = 0, nat = 5, ntyp = 4
/
ATOMIC_SPECIES
Ta 180.95 Ta.upf
In 114.82 In.upf
Au 196.97 Au.upf
Ga 69.72 Ga.upf
ATOMIC_POSITIONS crystal
Ta 0.000 0.000 0.000
In 0.500 0.000 0.000
Au 0.000 0.500 0.000
Ga 0.500 0.500 0.500
In 0.000 0.000 0.500
CELL_PARAMETERS angstrom
-2.337 -4.246 2.601
3.151 0.650 3.892
-3.607 3.425 2.349
```

V = 30.55 Å³/atom
Crystal system = tetragonal
Calculated formation energy = 0.7377 eV per atom
DOS(E_F) = 0.78 states/eV per atom

[8]
Tb2InGa3Au4: relaxed, PBE-GGA. Values from VASP.

The structure in Quantum ESPRESSO input format:
```
&SYSTEM
  ibrav = 0, nat = 10, ntyp = 4
/
ATOMIC_SPECIES
Ga 69.72 Ga.upf
Tb 158.93 Tb.upf
Au 196.97 Au.upf
In 114.82 In.upf
ATOMIC_POSITIONS crystal
Ga 0.000 0.500 0.130
Tb 0.500 0.000 0.234
Ga 0.000 0.000 0.500
Au 0.000 0.500 0.350
Au 0.000 0.000 0.000
In 0.500 0.500 0.500
Au 0.500 0.000 0.650
Ga 0.500 0.000 0.870
Au 0.500 0.500 0.000
Tb 0.000 0.500 0.766
CELL_PARAMETERS angstrom
-1.163 -4.160 -0.277
3.827 -0.951 -1.783
4.270 -1.870 10.164
```

V = 20.95 Å³/atom
Crystal system = tetragonal
Calculated formation energy = -0.5699 eV per atom
DOS(E_F) = 0.47 states/eV per atom